The following is a PBE-GGA calculation of a geometry-optimized BeSiOs structure, from OQMD.

The space group is F-43m. The raw total energy is -20.35 eV for the cell shown.

Cell lengths 3.8592, 3.8592, 3.8592 Å; angles 60.00, 60.00, 60.00 degrees
With the nearest neighbours (Å) after each atom.
Fractional coordinates of all 3 atoms:
Be1 0.0000 0.0000 0.0000  4 Si 2.36
Si1 0.2500 0.2500 0.2500  4 Be 2.36, 4 Os 2.36
Os1 0.5000 0.5000 0.5000  4 Si 2.36